The following is a PBE-GGA calculation of a geometry-optimized K3Nd3TaO8 structure, from Alexandria via LeMat-Bulk.

Lattice parameters (Å, degrees): 12.1482 7.0224 7.5849 90.00 122.25 90.00
Last column: nearest neighbours and their distance in Å.
Space group C2/m (No. 12)
Unique sites:
1 K 0.0000 0.0000 0.0000  6 O 2.77-2.83
2 K 0.2500 0.2500 0.0000  6 O 2.77-2.83
3 Nd 0.0000 0.5000 0.5000  6 O 2.41-2.46
4 Nd 0.2500 0.2500 0.5000  6 O 2.41-2.46
5 Ta 0.0000 0.0000 0.5000  6 O 2.04
6 O 0.0131 0.2115 0.3278  1 Ta 2.04
7 O 0.1988 0.0000 0.6722  1 Ta 2.04
8 O 0.2349 0.5000 0.7047  3 Nd 2.41

## Properties
raw formation energy	-2.622	eV per atom